1.
AlSbCl2: relaxed, PBE.

The structure belongs to space group Pmmm (No. 47); the cell edges are 3.275, 4.494 and 6.255 Å and the angles 90.00°, 90.00° and 90.00°. The asymmetric unit holds Al at (0.000, 0.000, 0.000), Sb at (0.000, 0.000, 0.500) and Cl at (0.500, 0.500, 0.248).

The calculation puts the density of states at the Fermi level at 0.39 states/eV per atom. Its offset from the most stable computed form is 614 meV per atom. Its uncorrected formation energy is -0.032 eV per atom. The total magnetization comes out at 0.0 Bohr magnetons per cell.

***

2.
Hf3Tc2Pd: relaxed, PBE.

The structure belongs to space group P4/mmm (No. 123); the cell edges are 3.294, 3.294 and 9.799 Å and the angles 90.00°, 90.00° and 90.00°. The asymmetric unit holds Hf at (0.000, 0.000, 0.000), Hf at (0.000, 0.000, 0.323), Tc at (0.500, 0.500, 0.171) and Pd at (0.500, 0.500, 0.500).

The calculation puts the density of states at the Fermi level at 0.31 states/eV per atom. As for the energy of formation from the pure elements: -0.64 eV/atom. The total magnetization comes out at 0.0 Bohr magnetons per cell.

***

3.
Na2ZrCdTe4: relaxed, PBE.

The structure belongs to space group P2/m (No. 10); the cell edges are 7.664, 4.250 and 7.908 Å and the angles 90.00°, 109.26° and 90.00°. The asymmetric unit holds Na at (0.000, 0.000, 0.000), Na at (0.500, 0.500, 0.000), Zr at (0.000, 0.500, 0.500), Cd at (0.500, 0.000, 0.500), Te at (0.223, 0.000, 0.729) and Te at (0.254, 0.500, 0.286).

The calculation puts the density of states at the Fermi level at 0.09 states/eV per atom. Its uncorrected formation energy is -0.747 eV per atom. The total magnetization comes out at 0.0 Bohr magnetons per cell.

***

4.
Ba3Sb5Rh6: relaxed, PBE.

The structure belongs to space group Pmmn (No. 59, origin choice 2); the cell edges are 4.310, 13.209 and 11.797 Å and the angles 90.00°, 90.00° and 90.00°. The asymmetric unit holds Ba at (0.250, 0.102, 0.233), Ba at (0.250, 0.750, 0.242), Sb at (0.250, 0.073, 0.640), Sb at (0.250, 0.612, 0.001), Sb at (0.250, 0.750, 0.601), Rh at (0.250, 0.061, 0.873), Rh at (0.250, 0.250, 0.523), Rh at (0.250, 0.250, 0.986) and Rh at (0.250, 0.579, 0.490).

The calculation puts the density of states at the Fermi level at 0.80 states/eV per atom. Its uncorrected formation energy is -0.631 eV per atom. The total magnetization comes out at 0.0 Bohr magnetons per cell.

***

5.
PaHg2I: relaxed, PBE.

The structure belongs to space group R-3m (No. 166, hexagonal axes); the cell edges are 3.3659, 3.3659 and 36.4916 Å and the angles 90.00°, 90.00° and 120.00°. The asymmetric unit holds Pa at (0.0000, 0.0000, 0.0000), Hg at (0.0000, 0.0000, 0.0851) and I at (0.0000, 0.0000, 0.5000).

The calculation puts the density of states at the Fermi level at 1.01 states/eV per atom. Its uncorrected formation energy is 0.307 eV per atom. The total magnetization comes out at 1.8 Bohr magnetons per cell.

***

6.
ZnCd5: relaxed, PBE.

The structure belongs to space group I4/mcm (No. 140); the cell edges are 7.075, 7.075 and 10.719 Å and the angles 90.00°, 90.00° and 90.00°. The asymmetric unit holds Zn at (0.000, 0.000, 0.250), Cd at (0.000, 0.000, 0.000) and Cd at (0.151, 0.349, 0.139).

The calculation puts the density of states at the Fermi level at 0.32 states/eV per atom. Its offset from the most stable computed form is 16 meV per atom. As for the energy of formation from the pure elements: 0.04 eV/atom. The total magnetization comes out at 0.0 Bohr magnetons per cell.

***

7.
Sr2TaTi2: relaxed, PBE.

The structure belongs to space group I4/mmm (No. 139); the cell edges are 4.188, 4.188 and 14.511 Å and the angles 90.00°, 90.00° and 90.00°. The asymmetric unit holds Sr at (0.000, 0.500, 0.250), Ta at (0.000, 0.000, 0.000) and Ti at (0.000, 0.000, 0.426).

The calculation puts the density of states at the Fermi level at 1.24 states/eV per atom. Its offset from the most stable computed form is 430 meV per atom. As for the energy of formation from the pure elements: 1.25 eV/atom. The total magnetization comes out at 3.5 Bohr magnetons per cell.

***

8.
CaCuTc2: relaxed, PBE.

The structure belongs to space group I4/mmm (No. 139); the cell edges are 3.760, 3.760 and 9.551 Å and the angles 90.00°, 90.00° and 90.00°. The asymmetric unit holds Ca at (0.000, 0.000, 0.000), Cu at (0.000, 0.000, 0.500) and Tc at (0.000, 0.500, 0.250).

The calculation puts the density of states at the Fermi level at 1.11 states/eV per atom. Its offset from the most stable computed form is 383 meV per atom. As for the energy of formation from the pure elements: 0.59 eV/atom. The total magnetization comes out at 0.0 Bohr magnetons per cell.

***

9.
Tb2Si2Rh5Au: relaxed, PBE.

The structure belongs to space group P4/mbm (No. 127); the cell edges are 9.781, 9.781 and 3.504 Å and the angles 90.00°, 90.00° and 90.00°. The asymmetric unit holds Tb at (0.175, 0.325, 0.000), Si at (0.124, 0.624, 0.000), Rh at (0.000, 0.500, 0.500), Rh at (0.069, 0.784, 0.500) and Au at (0.000, 0.000, 0.000).

The calculation puts the density of states at the Fermi level at 0.51 states/eV per atom. Its uncorrected formation energy is -0.866 eV per atom. The total magnetization comes out at 0.0 Bohr magnetons per cell.

***

10.
Cs2CeBr5: relaxed, PBE.

The structure belongs to space group Pnma (No. 62); the cell edges are 14.562, 9.677 and 9.175 Å and the angles 90.00°, 90.00° and 90.00°. The asymmetric unit holds Cs at (0.170, 0.008, 0.069), Ce at (0.004, 0.250, 0.567), Br at (0.014, 0.250, 0.892), Br at (0.065, 0.544, 0.661), Br at (0.176, 0.250, 0.398) and Br at (0.192, 0.750, 0.357).

The calculation puts the density of states at the Fermi level at 0.96 states/eV per atom. Its uncorrected formation energy is -1.854 eV per atom. The total magnetization comes out at 4.0 Bohr magnetons per cell.

***

11.
CePr2Rh: relaxed, PBE.

The structure belongs to space group Pnma (No. 62); the cell edges are 7.195, 10.066 and 6.542 Å and the angles 90.00°, 90.00° and 90.00°. The asymmetric unit holds Ce at (0.040, 0.250, 0.162), Pr at (0.178, 0.066, 0.666) and Rh at (0.135, 0.750, 0.474).

The calculation puts the density of states at the Fermi level at 2.04 states/eV per atom. Its offset from the most stable computed form is 0 meV per atom. As for the energy of formation from the pure elements: -0.38 eV/atom. The total magnetization comes out at 3.1 Bohr magnetons per cell.

***

12.
Hf2Th3Ge3: relaxed, PBE.

The structure belongs to space group P6_3/mcm (No. 193); the cell edges are 8.6754, 8.6754 and 5.9006 Å and the angles 90.00°, 90.00° and 120.00°. The asymmetric unit holds Hf at (0.3333, 0.6667, 0.0000), Th at (0.0000, 0.2533, 0.2500) and Ge at (0.0000, 0.3992, 0.7500).

The calculation puts the density of states at the Fermi level at 0.65 states/eV per atom. As for the energy of formation from the pure elements: -0.58 eV/atom. The total magnetization comes out at 0.0 Bohr magnetons per cell.

***

13.
BaLi2PdAu: relaxed, PBE.

The structure belongs to space group P4/mmm (No. 123); the cell edges are 4.776, 4.776 and 5.443 Å and the angles 90.00°, 90.00° and 90.00°. The asymmetric unit holds Ba at (0.000, 0.000, 0.000), Li at (0.000, 0.500, 0.500), Pd at (0.500, 0.500, 0.500) and Au at (0.500, 0.500, 0.000).

The calculation puts the density of states at the Fermi level at 0.48 states/eV per atom. As for the energy of formation from the pure elements: -0.35 eV/atom. The total magnetization comes out at 0.0 Bohr magnetons per cell.

***

14.
ZnTeCl2: relaxed, PBE.

The structure belongs to space group Cmmm (No. 65); the cell edges are 3.333, 6.168 and 12.111 Å and the angles 90.00°, 90.00° and 90.00°. The asymmetric unit holds Zn at (0.000, 0.000, 0.000), Te at (0.000, 0.000, 0.500) and Cl at (0.000, 0.500, 0.135).

The calculation puts the density of states at the Fermi level at 0.50 states/eV per atom. Its offset from the most stable computed form is 137 meV per atom. Its uncorrected formation energy is -0.486 eV per atom. The total magnetization comes out at 0.6 Bohr magnetons per cell.

***

15.
NaTmGe2O6: relaxed, PBE.

The structure belongs to space group C2/c (No. 15); the cell edges are 10.552, 9.579 and 5.731 Å and the angles 90.00°, 107.51° and 90.00°. The asymmetric unit holds Na at (0.000, 0.192, 0.250), Tm at (0.000, 0.394, 0.750), Ge at (0.210, 0.088, 0.748), O at (0.115, 0.421, 0.145), O at (0.139, 0.251, 0.675) and O at (0.142, 0.012, 0.971).

The calculation puts the density of states at the Fermi level at 0.00 states/eV per atom. Its uncorrected formation energy is -2.258 eV per atom. The total magnetization comes out at 0.0 Bohr magnetons per cell.

***

16.
Y2TaAl: relaxed, PBE.

The structure belongs to space group R3m (No. 160, hexagonal axes); the cell edges are 3.2875, 3.2875 and 30.9395 Å and the angles 90.00°, 90.00° and 120.00°. The asymmetric unit holds Y at (0.0000, 0.0000, 0.0000), Y at (0.0000, 0.0000, 0.2292), Ta at (0.0000, 0.0000, 0.7472) and Al at (0.0000, 0.0000, 0.4820).

The calculation puts the density of states at the Fermi level at 1.35 states/eV per atom. As for the energy of formation from the pure elements: 0.22 eV/atom. The total magnetization comes out at 0.1 Bohr magnetons per cell.

***

17.
LiNbZnW2: relaxed, PBE.

The structure belongs to space group P4/mmm (No. 123); the cell edges are 4.777, 4.777 and 5.147 Å and the angles 90.00°, 90.00° and 90.00°. The asymmetric unit holds Li at (0.000, 0.000, 0.000), Nb at (0.500, 0.500, 0.500), Zn at (0.500, 0.500, 0.000) and W at (0.000, 0.500, 0.500).

The calculation puts the density of states at the Fermi level at 0.86 states/eV per atom. As for the energy of formation from the pure elements: 1.77 eV/atom. The total magnetization comes out at 1.1 Bohr magnetons per cell.

***

18.
Pr6AlIn5: relaxed, PBE.

The structure belongs to space group Immm (No. 71); the cell edges are 5.490, 7.761 and 16.468 Å and the angles 90.00°, 90.00° and 90.00°. The asymmetric unit holds Pr at (0.000, 0.243, 0.000), Pr at (0.000, 0.253, 0.336), Al at (0.000, 0.500, 0.500), In at (0.000, 0.000, 0.170), In at (0.000, 0.000, 0.500) and In at (0.000, 0.500, 0.166).

The calculation puts the density of states at the Fermi level at 0.47 states/eV per atom. As for the energy of formation from the pure elements: -0.46 eV/atom. The total magnetization comes out at 0.0 Bohr magnetons per cell.

***

19.
KAl8Zn6: relaxed, PBE.

The structure belongs to space group R-3 (No. 148, hexagonal axes); the cell edges are 8.0678, 8.0678 and 14.8338 Å and the angles 90.00°, 90.00° and 120.00°. The asymmetric unit holds K at (0.0000, 0.0000, 0.0000), Al at (0.0000, 0.0000, 0.2194), Al at (0.0021, 0.6642, 0.1399) and Zn at (0.0062, 0.8075, 0.6351).

The calculation puts the density of states at the Fermi level at 0.24 states/eV per atom. As for the energy of formation from the pure elements: 0.06 eV/atom. The total magnetization comes out at 0.0 Bohr magnetons per cell.

***

20.
NaSc2Pd2: relaxed, PBE.

The structure belongs to space group I4/mmm (No. 139); the cell edges are 4.513, 4.513 and 11.203 Å and the angles 90.00°, 90.00° and 90.00°. The asymmetric unit holds Na at (0.000, 0.000, 0.000), Sc at (0.000, 0.500, 0.250) and Pd at (0.000, 0.000, 0.382).

The calculation puts the density of states at the Fermi level at 0.73 states/eV per atom. Its offset from the most stable computed form is 128 meV per atom. As for the energy of formation from the pure elements: -0.45 eV/atom. The total magnetization comes out at 0.0 Bohr magnetons per cell.